# Tl6Cd3Hg

A geometry-optimized Tl6Cd3Hg structure (PBE, the Alexandria database).

Cell lengths 9.2893, 9.2893, 11.7243 Å; angles 90.00, 90.00, 120.00 degrees
Space group R3 (No. 146, hexagonal axes)
One atom of each set of equivalent atoms:
Tl: 0.0055 0.3462 0.0000
Tl: 0.0050 0.6613 0.5001
Cd: 0.0000 0.0000 0.2330
Cd: 0.0000 0.0000 0.4842
Cd: 0.0000 0.0000 0.7330
Hg: 0.0000 0.0000 0.9841

Calculated values
D(E_F)	18.1	states/eV per cell
total moment	0.000	μB per formula unit
calculated volume	876	Å³/cell
formation energy from the elements	0.038	eV/atom